(1)
This record from the Alexandria database describes an optimized crystal structure of RbSrSi2. The functional is GGA-PBE.

POSCAR file:
```
RbSrSi2
1.0
0.000 3.915 3.915
3.915 0.000 3.915
3.915 3.915 0.000
Rb Sr Si
1 1 2
Direct
0.000 0.000 0.000
0.500 0.500 0.500
0.250 0.250 0.250
0.750 0.750 0.750
```

## Properties
DOS(E_F) in states/eV/f.u.: 2.90
Energy relative to the elements, uncorrected in eV per atom: 0.413
Excess energy over the best structure of this formula in the dataset in meV/atom: 0.0
V in Å³ per atom: 30.00

---

(2)
This record from the Alexandria database describes an optimized crystal structure of Rb2SrSi. The functional is GGA-PBE.

POSCAR file:
```
Rb2SrSi
1.0
-6.444 6.444 3.036
6.444 -6.444 3.036
6.444 6.444 -3.036
Rb Sr Si
4 2 2
Direct
0.375 0.232 0.357
0.768 0.125 0.143
0.875 0.018 0.643
0.982 0.625 0.857
0.250 0.750 0.500
0.500 0.500 0.000
0.000 0.000 0.000
0.750 0.250 0.500
```

## Properties
DOS(E_F) in states/eV/f.u.: 1.45
Energy relative to the elements, uncorrected in eV per atom: 0.271
V in Å³ per atom: 63.04